Record 1
# Ga3HgTe

Crystalline Ga3HgTe at its relaxed geometry (GGA-PBE, Alexandria via LeMat-Bulk).

energy relative to the lowest polymorph listed for this composition: 0.000 eV/atom
theoretical density: 6.3 g/cm³
raw formation energy: 217 meV/atom
symmetry: Pm-3m (221)
total DFT energy (no corrections): -11.4 eV/f.u.

Lattice parameters (Å, degrees): 5.2119 5.2119 5.2119 90.00 90.00 90.00
Atoms (fractional coordinates):
Te  0.5000  0.5000  0.5000
Hg  0.0000  0.0000  0.0000
Ga  0.5000  0.0000  0.0000
Ga  0.0000  0.0000  0.5000
Ga  0.0000  0.5000  0.0000

Record 2
# GaHgTe2

Crystalline GaHgTe2 at its relaxed geometry (GGA-PBE, Alexandria via LeMat-Bulk).

theoretical density: 6.0 g/cm³
raw formation energy: -135 meV/atom
symmetry: I-42d (122)
total DFT energy (no corrections): -10.2 eV/f.u.

Lattice parameters (Å, degrees): 6.5849 6.5849 8.1639 66.22 66.22 90.00
Atoms (fractional coordinates):
Ga  0.2500  0.7500  0.5000
Ga  0.5000  0.5000  0.0000
Te  0.6047  0.1250  0.2500
Te  0.3750  0.3953  0.7500
Te  0.8750  0.8547  0.7500
Te  0.1453  0.6250  0.2500
Hg  0.7500  0.2500  0.5000
Hg  0.0000  0.0000  0.0000

Record 3
# Ga2Hg2Te

Crystalline Ga2Hg2Te at its relaxed geometry (GGA-PBE, Alexandria via LeMat-Bulk).

energy relative to the lowest polymorph listed for this composition: 0.096 eV/atom
theoretical density: 8.7 g/cm³
raw formation energy: 111 meV/atom
symmetry: I4/mmm (139)
total DFT energy (no corrections): -9.2 eV/f.u.

Lattice parameters (Å, degrees): 4.4796 4.4796 7.1208 71.67 71.67 90.00
Atoms (fractional coordinates):
Ga  0.7500  0.2500  0.5000
Ga  0.2500  0.7500  0.5000
Te  0.0000  0.0000  0.0000
Hg  0.6104  0.6104  0.7792
Hg  0.3896  0.3896  0.2208

Record 4
# GaHg2Te

Crystalline GaHg2Te at its relaxed geometry (GGA-PBE, Alexandria via LeMat-Bulk).

energy relative to the lowest polymorph listed for this composition: 0.198 eV/atom
theoretical density: 7.4 g/cm³
raw formation energy: 221 meV/atom
symmetry: R-3m (166)
total DFT energy (no corrections): -5.9 eV/f.u.

Lattice parameters (Å, degrees): 4.2225 4.2225 9.0513 76.51 76.51 60.00
Atoms (fractional coordinates):
Ga  0.0000  0.0000  0.0000
Hg  0.9013  0.9013  0.2962
Hg  0.0987  0.0987  0.7038
Te  0.5000  0.5000  0.5000